Record 1
GeAu3S: relaxed, PBE.

Cell: 4.8268 4.8268 4.8268 Å, 90.00 90.00 90.00°
Closest atoms and distances in Å follow each position.
Atoms (fractional coordinates):
Ge  0.0000  0.0000  0.0000  12 Au 3.41
Au  0.0000  0.5000  0.5000  2 S 2.41
Au  0.5000  0.0000  0.5000  2 S 2.41
Au  0.5000  0.5000  0.0000  2 S 2.41
S  0.5000  0.5000  0.5000  6 Au 2.41

Summary:
As for the density of states at the Fermi level: 5.14 states/eV per cell. The value obtained for the total moment is 0.0 Bohr magnetons per cell. Its symmetry is No. 221. The calculated volume comes out at 22.491 Å³/atom. The calculation puts the polymorph energy (0 for the lowest one) at 0.00 kcal/mol of atoms. The uncorrected formation energy is 604 meV/atom. The value obtained for the uncorrected energy is -3.112 eV per atom.

=====

Record 2
PmThSbPb: relaxed, PBE.

Cell: 7.8373 7.8373 7.8373 Å, 33.67 33.67 33.67°
Closest atoms and distances in Å follow each position.
Atoms (fractional coordinates):
Pm  0.0000  0.0000  0.0000  3 Sb 3.20, 3 Pb 3.20
Th  0.5008  0.5008  0.5008  3 Sb 3.20, 3 Pb 3.22
Sb  0.2505  0.2505  0.2505  3 Pm 3.20, 3 Th 3.20
Pb  0.7499  0.7499  0.7499  3 Pm 3.20, 3 Th 3.22

Summary:
As for the density of states at the Fermi level: 1.71 states/eV per cell. The value obtained for the total moment is 0.0 Bohr magnetons per cell. Its symmetry is No. 160. The calculated volume comes out at 32.954 Å³/atom. The calculation puts the polymorph energy (0 for the lowest one) at 0.00 kcal/mol of atoms. The uncorrected formation energy is -722 meV/atom. The value obtained for the uncorrected energy is -5.722 eV per atom.

=====

Record 3
In3FeBr: relaxed, PBE.

Cell: 5.8457 5.8457 5.8457 Å, 90.00 90.00 90.00°
Closest atoms and distances in Å follow each position.
Atoms (fractional coordinates):
In  0.0000  0.0000  0.5000  2 Br 2.92
In  0.0000  0.5000  0.0000  2 Br 2.92
In  0.5000  0.0000  0.0000  2 Br 2.92
Fe  0.5000  0.5000  0.5000  12 In 4.13
Br  0.0000  0.0000  0.0000  6 In 2.92

Summary:
As for the density of states at the Fermi level: 9.86 states/eV per cell. The value obtained for the total moment is 3.1 Bohr magnetons per cell. Its symmetry is No. 221. The calculated volume comes out at 39.953 Å³/atom. The calculation puts the polymorph energy (0 for the lowest one) at 21.11 kcal/mol of atoms. The uncorrected formation energy is 928 meV/atom. The value obtained for the uncorrected energy is -2.743 eV per atom.

=====

Record 4
LiNbAg2: relaxed, PBE.

Cell: 10.5298 10.5298 10.5298 Å, 15.45 15.45 15.45°
Closest atoms and distances in Å follow each position.
Atoms (fractional coordinates):
Li  0.0000  0.0000  0.0000  6 Ag 2.83, 6 Li 2.83
Nb  0.5000  0.5000  0.5000  6 Nb 2.83, 2 Ag 2.89
Ag  0.4073  0.4073  0.4073  3 Li 2.83, 6 Ag 2.83, 1 Nb 2.89
Ag  0.5927  0.5927  0.5927  3 Li 2.83, 6 Ag 2.83, 1 Nb 2.89

Summary:
As for the density of states at the Fermi level: 3.28 states/eV per cell. The value obtained for the formation energy is 288 meV per atom. The value obtained for the total moment is 0.0 Bohr magnetons per cell. Its symmetry is No. 166. The calculated volume comes out at 18.056 Å³/atom. The calculation puts the polymorph energy (0 for the lowest one) at 0.00 kcal/mol of atoms. The value obtained for the uncorrected energy is -4.134 eV per atom.

=====

Record 5
BeCdCo2: relaxed, PBE.

Cell: 4.6184 4.6184 4.6184 Å, 134.00 134.00 67.09°
Closest atoms and distances in Å follow each position.
Atoms (fractional coordinates):
Be  0.0000  0.0000  0.0000  4 Cd 2.55, 8 Co 2.64
Cd  0.5000  0.5000  0.0000  4 Be 2.55, 8 Co 2.64
Co  0.2500  0.7500  0.5000  4 Co 2.55, 4 Cd 2.64, 4 Be 2.64
Co  0.7500  0.2500  0.5000  4 Co 2.55, 4 Cd 2.64, 4 Be 2.64

Summary:
As for the density of states at the Fermi level: 6.03 states/eV per cell. The value obtained for the formation energy is 327 meV per atom. The value obtained for the total moment is 2.6 Bohr magnetons per cell. Its symmetry is No. 139. The calculated volume comes out at 12.534 Å³/atom. The calculation puts the polymorph energy (0 for the lowest one) at 5.41 kcal/mol of atoms. The value obtained for the uncorrected energy is -4.386 eV per atom.

=====

Record 6
Tl6HgClO2: relaxed, PBE.

Cell: 9.6845 9.6845 7.1996 Å, 107.96 107.96 74.98°
Closest atoms and distances in Å follow each position.
Atoms (fractional coordinates):
Tl  0.0609  0.1699  0.4578  2 O 2.47-2.52
Tl  0.0876  0.5669  0.8812  1 O 2.33
Tl  0.1699  0.0609  0.9578  2 O 2.47-2.52
Tl  0.3147  0.4218  0.3170  1 O 2.33
Tl  0.4218  0.3147  0.8170  1 O 2.33
Tl  0.4331  0.9124  0.6188  1 O 2.33
Tl  0.5669  0.0876  0.3812  1 O 2.33
Tl  0.5782  0.6853  0.1830  1 O 2.33
Tl  0.6853  0.5782  0.6830  1 O 2.33
Tl  0.8301  0.9391  0.0422  2 O 2.47-2.52
Tl  0.9124  0.4331  0.1188  1 O 2.33
Tl  0.9391  0.8301  0.5422  2 O 2.47-2.52
Hg  0.3214  0.6786  0.7500  6 Tl 3.23-3.55
Hg  0.6786  0.3214  0.2500  6 Tl 3.23-3.55
Cl  0.1883  0.8117  0.2500  4 Tl 3.06-3.39
Cl  0.8117  0.1883  0.7500  4 Tl 3.06-3.39
O  0.1317  0.2812  0.2350  4 Tl 2.33-2.52
O  0.2812  0.1317  0.7350  4 Tl 2.33-2.52
O  0.7188  0.8683  0.2650  4 Tl 2.33-2.52
O  0.8683  0.7188  0.7650  4 Tl 2.33-2.52

Summary:
As for the density of states at the Fermi level: 5.25 states/eV per cell. The value obtained for the total moment is 0.0 Bohr magnetons per cell. Its symmetry is No. 15. The calculated volume comes out at 30.047 Å³/atom. The uncorrected formation energy is -470 meV/atom. The value obtained for the uncorrected energy is -3.097 eV per atom.

=====

Record 7
NaTlCr2Bi: relaxed, PBE.

Cell: 5.3610 5.3610 5.8278 Å, 90.00 90.00 90.00°
Closest atoms and distances in Å follow each position.
Atoms (fractional coordinates):
Na  0.0000  0.0000  0.0000  2 Bi 2.91
Tl  0.5000  0.5000  0.0000  4 Na 3.79, 8 Cr 3.96
Cr  0.0000  0.5000  0.5000  2 Bi 2.68
Cr  0.5000  0.0000  0.5000  2 Bi 2.68
Bi  0.0000  0.0000  0.5000  4 Cr 2.68, 2 Na 2.91

Summary:
As for the density of states at the Fermi level: 2.34 states/eV per cell. The value obtained for the formation energy is 802 meV per atom. The value obtained for the total moment is 8.8 Bohr magnetons per cell. Its symmetry is No. 123. The calculated volume comes out at 33.498 Å³/atom. The value obtained for the uncorrected energy is -4.561 eV per atom.

=====

Record 8
AlCr3: relaxed, PBE.

Cell: 8.1867 8.1867 8.1867 Å, 19.02 19.02 19.02°
Closest atoms and distances in Å follow each position.
Atoms (fractional coordinates):
Al  0.0000  0.0000  0.0000  6 Cr 2.67, 6 Al 2.70
Cr  0.2434  0.2434  0.2434  9 Cr 2.42-2.70, 3 Al 2.67
Cr  0.5000  0.5000  0.5000  12 Cr 2.42-2.70
Cr  0.7566  0.7566  0.7566  9 Cr 2.42-2.70, 3 Al 2.67

Summary:
As for the density of states at the Fermi level: 5.44 states/eV per cell. The value obtained for the formation energy is 248 meV per atom. The value obtained for the total moment is 0.0 Bohr magnetons per cell. Its symmetry is No. 166. The calculated volume comes out at 12.728 Å³/atom. The value obtained for the uncorrected energy is -7.906 eV per atom.

=====

Record 9
TaVTcS2: relaxed, PBE.

Cell: 4.6620 4.6620 4.9012 Å, 90.00 90.00 90.00°
Closest atoms and distances in Å follow each position.
Atoms (fractional coordinates):
Ta  0.0000  0.0000  0.0000  4 S 2.33, 2 V 2.45
V  0.0000  0.0000  0.5000  2 Ta 2.45
Tc  0.5000  0.5000  0.5000  4 V 3.30, 8 S 3.38
S  0.0000  0.5000  0.0000  2 Ta 2.33
S  0.5000  0.0000  0.0000  2 Ta 2.33

Summary:
As for the density of states at the Fermi level: 5.49 states/eV per cell. The value obtained for the total moment is 4.2 Bohr magnetons per cell. Its symmetry is No. 123. The calculated volume comes out at 21.304 Å³/atom. The uncorrected formation energy is 1117 meV/atom. The value obtained for the uncorrected energy is -6.801 eV per atom.

=====

Record 10
Na2PmPaO6: relaxed, PBE.

Cell: 5.9259 6.0708 10.3105 Å, 90.00 124.84 90.00°
Closest atoms and distances in Å follow each position.
Atoms (fractional coordinates):
Na  0.2424  0.0387  0.2477  4 O 2.41-2.57
Na  0.2424  0.4613  0.7477  4 O 2.41-2.57
Na  0.7576  0.5387  0.2523  4 O 2.41-2.57
Na  0.7576  0.9613  0.7523  4 O 2.41-2.57
Pm  0.0000  0.0000  0.5000  6 O 2.32-2.35
Pm  0.0000  0.5000  0.0000  6 O 2.32-2.35
Pa  0.5000  0.0000  0.0000  6 O 2.13
Pa  0.5000  0.5000  0.5000  6 O 2.13
O  0.1503  0.1832  0.9460  1 Pa 2.13, 1 Pm 2.32
O  0.1503  0.3168  0.4460  1 Pa 2.13, 1 Pm 2.32
O  0.2621  0.7078  0.9397  1 Pa 2.13, 1 Pm 2.34
O  0.2621  0.7922  0.4397  1 Pa 2.13, 1 Pm 2.34
O  0.3727  0.0536  0.7632  1 Pa 2.13, 1 Pm 2.35
O  0.3727  0.4464  0.2632  1 Pa 2.13, 1 Pm 2.35
O  0.6273  0.5536  0.7368  1 Pa 2.13, 1 Pm 2.35
O  0.6273  0.9464  0.2368  1 Pa 2.13, 1 Pm 2.35
O  0.7379  0.2078  0.5603  1 Pa 2.13, 1 Pm 2.34
O  0.7379  0.2922  0.0603  1 Pa 2.13, 1 Pm 2.34
O  0.8497  0.6832  0.5540  1 Pa 2.13, 1 Pm 2.32
O  0.8497  0.8168  0.0540  1 Pa 2.13, 1 Pm 2.32

Summary:
As for the density of states at the Fermi level: 11.53 states/eV per cell. The value obtained for the total moment is 4.2 Bohr magnetons per cell. Its symmetry is No. 14. The calculated volume comes out at 15.221 Å³/atom. The uncorrected formation energy is -2460 meV/atom. The value obtained for the uncorrected energy is -7.123 eV per atom.

=====

Record 11
SrTcP2: relaxed, PBE.

Cell: 3.1345 3.1345 7.0921 Å, 90.00 90.00 90.00°
Closest atoms and distances in Å follow each position.
Atoms (fractional coordinates):
Sr  0.0000  0.0000  0.0000  8 P 3.12, 4 Sr 3.13
Tc  0.0000  0.0000  0.5000  8 P 2.60
P  0.5000  0.5000  0.3094  4 Tc 2.60, 1 P 2.70
P  0.5000  0.5000  0.6906  4 Tc 2.60, 1 P 2.70

Summary:
As for the density of states at the Fermi level: 2.53 states/eV per cell. The value obtained for the formation energy is -374 meV per atom. The value obtained for the total moment is 0.0 Bohr magnetons per cell. Its symmetry is No. 123. The calculated volume comes out at 17.420 Å³/atom. The calculation puts the polymorph energy (0 for the lowest one) at 4.56 kcal/mol of atoms. The value obtained for the uncorrected energy is -6.091 eV per atom.

=====

Record 12
Nd2Dy3HoSe6: relaxed, PBE.

Cell: 9.2256 9.2256 8.3100 Å, 103.30 103.30 25.68°
Closest atoms and distances in Å follow each position.
Atoms (fractional coordinates):
Nd  0.1687  0.1687  0.3364  6 Se 2.95-3.02
Nd  0.8313  0.8313  0.6636  6 Se 2.95-3.02
Dy  0.1706  0.1706  0.8336  6 Se 2.85-2.91
Dy  0.5000  0.5000  0.5000  6 Se 2.84-2.93
Dy  0.8294  0.8294  0.1664  6 Se 2.85-2.91
Ho  0.5000  0.5000  0.0000  6 Se 2.87-2.91
Se  0.0039  0.0039  0.7537  2 Ho 2.91, 3 Dy 2.91-2.93, 1 Nd 3.02
Se  0.3358  0.3358  0.9274  1 Ho 2.87, 3 Dy 2.88-2.89, 2 Nd 2.99
Se  0.3376  0.3376  0.4088  3 Dy 2.84-2.85, 3 Nd 2.95-2.97
Se  0.6624  0.6624  0.5912  3 Dy 2.84-2.85, 3 Nd 2.95-2.97
Se  0.6642  0.6642  0.0726  1 Ho 2.87, 3 Dy 2.88-2.89, 2 Nd 2.99
Se  0.9961  0.9961  0.2463  2 Ho 2.91, 3 Dy 2.91-2.93, 1 Nd 3.02

Summary:
As for the density of states at the Fermi level: 5.60 states/eV per cell. The value obtained for the total moment is 0.0 Bohr magnetons per cell. Its symmetry is No. 12. The calculated volume comes out at 24.820 Å³/atom. The uncorrected formation energy is -1774 meV/atom. The value obtained for the uncorrected energy is -5.843 eV per atom.